HfPa3O, relaxed, DFT PBE; crystal system = cubic; formation energy from raw total energies = -4.23 eV per formula unit; N(E_F) = 9.5 states/eV per cell; DFT total energy = -9.5255 eV per atom; symmetry = Pm-3m
1.0
4.782 0.000 0.000
0.000 4.782 0.000
0.000 0.000 4.782
Hf Pa O
1 3 1
Cartesian
0.000 0.000 0.000
0.000 2.391 2.391
2.391 0.000 2.391
2.391 2.391 0.000
2.391 2.391 2.391

---

ReHgBr2, relaxed, DFT PBE; crystal system = tetragonal; formation energy from raw total energies = 1.88 eV per formula unit; N(E_F) = 6.1 states/eV per cell; DFT total energy = -3.5548 eV per atom; symmetry = I-42d
1.0
-4.350 4.350 2.817
4.350 -4.350 2.817
4.350 4.350 -2.817
Re Hg Br
2 2 4
Cartesian
0.000 0.000 0.000
0.000 4.350 1.408
4.350 0.000 1.408
0.000 0.000 2.817
1.018 2.175 0.704
-2.175 3.332 2.112
-1.018 6.525 0.704
2.175 5.368 2.112